No. 1
# Cd2In2SnHg7

Cd2In2SnHg7 after structural relaxation (PBE, the Alexandria database).

Space-group type: Imm2
Formation energy from the elements in meV per atom: 49
VASP energy in eV/atom: -1.07

Cell and atoms, written as POSCAR:
```
Cd2In2SnHg7
1.0
-2.866 9.339 2.915
2.866 -9.339 2.915
2.866 9.339 -2.915
Cd In Sn Hg
2 2 1 7
Direct
0.250 0.000 0.250
0.750 0.000 0.750
0.325 0.489 0.836
0.653 0.489 0.164
0.947 0.447 0.500
0.047 0.962 0.085
0.164 0.493 0.671
0.380 0.964 0.415
0.442 0.442 0.000
0.549 0.964 0.585
0.821 0.493 0.329
0.877 0.962 0.915
```


No. 2
# CdInSn2Hg

CdInSn2Hg after structural relaxation (PBE, the Alexandria database).

Space-group type: P2_1/m
Formation energy from the elements in meV per atom: 56
VASP energy in eV/atom: -2.34

Cell and atoms, written as POSCAR:
```
CdInSn2Hg
1.0
7.091 0.000 0.000
0.000 3.292 0.000
-2.575 0.000 11.464
Cd In Sn Hg
2 2 4 2
Direct
0.187 0.250 0.012
0.813 0.750 0.988
0.173 0.250 0.586
0.827 0.750 0.414
0.399 0.250 0.375
0.466 0.250 0.842
0.534 0.750 0.158
0.601 0.750 0.625
0.007 0.750 0.776
0.993 0.250 0.224
```


What is the formula in the second record?
CdInSn2Hg